Record 1
DFT (PBE) results for a geometry-optimized AsPtW2 structure.

Properties
M_tot: 0.00 μB/f.u.
space group: C2/m, No. 12
V: 16.0 Å³/atom
total DFT energy (no corrections): -8.856 eV/atom
ΔH_f (0 K): 0.29 eV/atom

Lattice parameters (Å, degrees): 5.560 5.071 2.807 83.22 73.17 117.91
Sites, in units of the cell vectors:
As1 0.000 0.500 0.500
W1 0.000 0.000 0.000
W2 0.500 0.000 0.500
Pt1 0.500 0.500 0.000

Record 2
DFT (PBE) results for a geometry-optimized Ce2TlPd9 structure.

Properties
M_tot: 0.33 μB/f.u.
space group: P4/mmm, No. 123
V: 17.6 Å³/atom
total DFT energy (no corrections): -5.724 eV/atom
ΔH_f (0 K): -0.64 eV/atom

Lattice parameters (Å, degrees): 4.140 4.140 12.352 90.00 90.00 90.00
Each line ends with the local moment (μB).
Sites, in units of the cell vectors:
Ce1 0.000 0.000 0.329  -0.20
Ce2 0.000 0.000 0.671  -0.20
Tl1 0.000 0.000 0.000  0.00
Pd1 0.500 0.500 0.000  0.00
Pd2 0.500 0.500 0.332  0.01
Pd3 0.500 0.500 0.668  0.01
Pd4 0.500 0.000 0.168  0.01
Pd5 0.500 0.000 0.500  0.01
Pd6 0.500 0.000 0.832  0.01
Pd7 0.000 0.500 0.168  0.01
Pd8 0.000 0.500 0.500  0.01
Pd9 0.000 0.500 0.832  0.01

Record 3
DFT (PBE) results for a geometry-optimized Na2SiP structure.

Properties
M_tot: 0.00 μB/f.u.
space group: Fm-3m, No. 225
V: 20.1 Å³/atom
raw formation energy: 303 meV per atom
total DFT energy (no corrections): -3.065 eV/atom

Lattice parameters (Å, degrees): 4.842 4.842 4.842 60.00 60.00 60.00
Sites, in units of the cell vectors:
P1 0.500 0.500 0.500
Si1 0.000 0.000 0.000
Na1 0.250 0.250 0.250
Na2 0.750 0.750 0.750

Record 4
DFT (PBE) results for a geometry-optimized LiMgGaPb structure.

Properties
M_tot: 0.00 μB/f.u.
space group: F-43m, No. 216
V: 21.5 Å³/atom
total DFT energy (no corrections): -2.719 eV/atom
ΔH_f (0 K): -0.16 eV/atom

Lattice parameters (Å, degrees): 4.955 4.955 4.955 60.00 60.00 60.00
Sites, in units of the cell vectors:
Pb1 0.750 0.750 0.750
Mg1 0.000 0.000 0.000
Ga1 0.250 0.250 0.250
Li1 0.500 0.500 0.500

Record 5
DFT (PBE) results for a geometry-optimized SmSc2In2 structure.

Properties
M_tot: 0.03 μB/f.u.
space group: Cmmm, No. 65
V: 27.5 Å³/atom
total DFT energy (no corrections): -4.630 eV/atom
ΔH_f (0 K): -0.06 eV/atom

Lattice parameters (Å, degrees): 4.784 4.784 6.530 90.00 90.00 112.80
Sites, in units of the cell vectors:
Sm1 0.000 0.000 0.000
Sc1 0.171 0.829 0.500
Sc2 0.829 0.171 0.500
In1 0.500 0.500 0.732
In2 0.500 0.500 0.268

What did the third record say?
DFT (PBE) results for a geometry-optimized Na2SiP structure.

Properties
M_tot: 0.00 μB/f.u.
space group: Fm-3m, No. 225
V: 20.1 Å³/atom
raw formation energy: 303 meV per atom
total DFT energy (no corrections): -3.065 eV/atom

Lattice parameters (Å, degrees): 4.842 4.842 4.842 60.00 60.00 60.00
Sites, in units of the cell vectors:
P1 0.500 0.500 0.500
Si1 0.000 0.000 0.000
Na1 0.250 0.250 0.250
Na2 0.750 0.750 0.750